1.
Computed, not measured: KFeAsF6 after structural relaxation at the PBE+U level of DFT.

SG: P1, No. 1
Total energy in eV per atom: -4.890

Cell: 5.808 5.598 5.599 Å, 90.04 90.04 58.68°
Fractional positions:
K: 0.003 0.994 0.000
Fe: 0.673 0.653 0.500
As: 0.332 0.335 0.500
F: 0.028 0.345 0.306
F: 0.364 0.032 0.690
F: 0.626 0.346 0.694
F: 0.957 0.631 0.717
F: 0.412 0.633 0.283
F: 0.606 0.031 0.310

---

2.
Computed, not measured: LaFe2AsF after structural relaxation at the PBE+U level of DFT.

SG: P4/mmm, No. 123
Total energy in eV per atom: -4.316

Cell: 5.481 4.374 5.481 Å, 90.00 90.00 90.00°
Fractional positions:
As: 0.500 0.500 0.500
F: 0.000 0.500 0.000
Fe: 0.000 0.000 0.500
Fe: 0.500 0.000 0.000
La: 0.000 0.000 0.000

---

3.
Computed, not measured: MgFeAsF2 after structural relaxation at the PBE+U level of DFT.

SG: P4/mmm, No. 123
Total energy in eV per atom: -4.382

Cell: 3.849 7.457 3.849 Å, 90.00 90.00 90.00°
Fractional positions:
Mg: 0.000 0.500 0.000
As: 0.500 0.500 0.500
Fe: 0.000 0.000 0.000
F: 0.000 0.000 0.500
F: 0.500 0.000 0.000

---

4.
Computed, not measured: MgFeAs2F after structural relaxation at the PBE+U level of DFT.

SG: P4/mmm, No. 123
Total energy in eV per atom: -3.764

Cell: 4.972 3.934 4.972 Å, 90.00 90.00 90.00°
Fractional positions:
Mg: 0.500 0.500 0.500
As: 0.000 0.000 0.500
As: 0.500 0.000 0.000
Fe: 0.000 0.500 0.000
F: 0.000 0.000 0.000

---

5.
Computed, not measured: FeAsN2F after structural relaxation at the PBE+U level of DFT.

SG: P4/mmm, No. 123
Polymorph energy (0 for the lowest one) in eV per atom: 0.085

Cell: 3.930 3.930 3.801 Å, 90.00 90.00 90.00°
Fractional positions:
As: 0.500 0.500 0.500
N: 0.000 0.500 0.000
N: 0.500 0.000 0.000
Fe: 0.000 0.000 0.000
F: 0.000 0.000 0.500

---

6.
Computed, not measured: FeAsN2F after structural relaxation at the PBE+U level of DFT.

SG: P4/mmm, No. 123
Polymorph energy (0 for the lowest one) in eV per atom: 0.000

Cell: 3.803 3.803 4.003 Å, 90.00 90.00 90.00°
Fractional positions:
As: 0.000 0.000 0.000
N: 0.000 0.500 0.000
N: 0.500 0.000 0.000
Fe: 0.500 0.500 0.500
F: 0.000 0.000 0.500

---

7.
Computed, not measured: FeAsOF2 after structural relaxation at the PBE+U level of DFT.

SG: P4/mmm, No. 123
Polymorph energy (0 for the lowest one) in eV per atom: 0.000

Cell: 4.037 4.037 3.978 Å, 90.00 90.00 90.00°
Fractional positions:
As: 0.500 0.500 0.500
Fe: 0.000 0.000 0.000
O: 0.000 0.000 0.500
F: 0.000 0.500 0.000
F: 0.500 0.000 0.000

---

8.
Computed, not measured: FeAsOF2 after structural relaxation at the PBE+U level of DFT.

SG: P4/mmm, No. 123
Polymorph energy (0 for the lowest one) in eV per atom: 0.147

Cell: 4.377 4.377 3.962 Å, 90.00 90.00 90.00°
Fractional positions:
As: 0.000 0.000 0.000
Fe: 0.500 0.500 0.500
O: 0.000 0.000 0.500
F: 0.000 0.500 0.000
F: 0.500 0.000 0.000

---

9.
Computed, not measured: Fe2AsPbF after structural relaxation at the PBE+U level of DFT.

SG: P4/mmm, No. 123
Total energy in eV per atom: -3.329

Cell: 5.327 5.408 5.327 Å, 90.00 90.00 90.00°
Fractional positions:
Pb: 0.000 0.000 0.000
As: 0.000 0.500 0.000
Fe: 0.000 0.000 0.500
Fe: 0.500 0.000 0.000
F: 0.500 0.500 0.500

---

10.
Computed, not measured: FeSb2AsF after structural relaxation at the PBE+U level of DFT.

SG: P4/mmm, No. 123
Total energy in eV per atom: -3.989

Cell: 5.339 3.946 5.339 Å, 90.00 90.00 90.00°
Fractional positions:
Sb: 0.000 0.000 0.500
Sb: 0.500 0.000 0.000
As: 0.500 0.500 0.500
Fe: 0.000 0.500 0.000
F: 0.000 0.000 0.000

---

11.
Computed, not measured: FeAs2SeF after structural relaxation at the PBE+U level of DFT.

SG: P4/mmm, No. 123
Polymorph energy (0 for the lowest one) in eV per atom: 0.000

Cell: 4.285 4.285 5.455 Å, 90.00 90.00 90.00°
Fractional positions:
As: 0.000 0.500 0.000
As: 0.500 0.000 0.000
Fe: 0.500 0.500 0.500
Se: 0.000 0.000 0.500
F: 0.000 0.000 0.000

---

12.
Computed, not measured: FeAs2SeF after structural relaxation at the PBE+U level of DFT.

SG: P4/mmm, No. 123
Polymorph energy (0 for the lowest one) in eV per atom: 0.009

Cell: 4.719 4.719 4.693 Å, 90.00 90.00 90.00°
Fractional positions:
As: 0.000 0.500 0.000
As: 0.500 0.000 0.000
Fe: 0.000 0.000 0.000
Se: 0.000 0.000 0.500
F: 0.500 0.500 0.500